(A)
YSeI2N (PBE, relaxed); volume = 155.9 Å³/f.u.; space group = P4/mmm, No. 123
1.0
6.153 0.000 0.000
0.000 6.153 0.000
0.000 0.000 4.117
Y Se I N
1 1 2 1
Direct
0.000 0.000 0.000
0.500 0.500 0.500
0.000 0.500 0.000
0.500 0.000 0.000
0.000 0.000 0.500


(B)
YSeI2N (PBE, relaxed); volume = 143.6 Å³/f.u.; space group = P4/mmm, No. 123
1.0
6.201 0.000 0.000
0.000 6.201 0.000
0.000 0.000 3.733
Y Se I N
1 1 2 1
Direct
0.000 0.000 0.000
0.500 0.500 0.500
0.000 0.500 0.500
0.500 0.000 0.500
0.500 0.500 0.000


(A) ends up most stable, edging out the next structure by 170 meV/atom.


(A)
YSeIN2 (PBE, relaxed); volume = 93.8 Å³/f.u.; space group = P4/mmm, No. 123
1.0
4.224 0.000 0.000
0.000 4.224 0.000
0.000 0.000 5.254
Y Se I N
1 1 1 2
Direct
0.000 0.000 0.000
0.500 0.500 0.500
0.500 0.500 0.000
0.000 0.500 0.500
0.500 0.000 0.500


(B)
YSeIN2 (PBE, relaxed); volume = 126.3 Å³/f.u.; space group = P4/mmm, No. 123
1.0
4.595 0.000 0.000
0.000 4.595 0.000
0.000 0.000 5.981
Y Se I N
1 1 1 2
Direct
0.000 0.000 0.000
0.000 0.000 0.500
0.500 0.500 0.500
0.000 0.500 0.000
0.500 0.000 0.000


(C)
YSeIN2 (PBE, relaxed); volume = 93.8 Å³/f.u.; space group = P4/mmm, No. 123
1.0
4.178 0.000 0.000
0.000 4.178 0.000
0.000 0.000 5.374
Y Se I N
1 1 1 2
Direct
0.000 0.000 0.000
0.500 0.500 0.000
0.500 0.500 0.500
0.000 0.500 0.500
0.500 0.000 0.500


(B) ends up most stable, edging out the next structure by 165 meV/atom.


(A)
ZnSeIN2 (PBE, relaxed); volume = 110.0 Å³/f.u.; space group = P4/mmm, No. 123
1.0
4.104 0.000 0.000
0.000 4.104 0.000
0.000 0.000 6.534
Zn Se I N
1 1 1 2
Direct
0.000 0.000 0.000
0.500 0.500 0.500
0.000 0.000 0.500
0.000 0.500 0.000
0.500 0.000 0.000


(B)
ZnSeIN2 (PBE, relaxed); volume = 101.1 Å³/f.u.; space group = P4/mmm, No. 123
1.0
4.138 0.000 0.000
0.000 4.138 0.000
0.000 0.000 5.902
Zn Se I N
1 1 1 2
Direct
0.000 0.000 0.000
0.000 0.000 0.500
0.500 0.500 0.500
0.000 0.500 0.000
0.500 0.000 0.000


(B) ends up most stable, edging out the next structure by 57 meV/atom.


(A)
ZnSe2IN (PBE, relaxed); volume = 120.2 Å³/f.u.; space group = P4/mmm, No. 123
1.0
5.510 0.000 0.000
0.000 5.510 0.000
0.000 0.000 3.960
Zn Se I N
1 2 1 1
Direct
0.000 0.000 0.000
0.000 0.500 0.500
0.500 0.000 0.500
0.500 0.500 0.500
0.500 0.500 0.000


(B)
ZnSe2IN (PBE, relaxed); volume = 104.7 Å³/f.u.; space group = P4/mmm, No. 123
1.0
5.292 0.000 0.000
0.000 5.292 0.000
0.000 0.000 3.737
Zn Se I N
1 2 1 1
Direct
0.000 0.000 0.000
0.000 0.500 0.000
0.500 0.000 0.000
0.500 0.500 0.500
0.000 0.000 0.500


(B) ends up most stable, edging out the next structure by 263 meV/atom.